[1]
A plane-wave DFT calculation with PBE-GGA was carried out for LiTb2Pd after structural relaxation.

```
data_LiTb2Pd
_symmetry_space_group_name_H-M 'P 1'
_symmetry_Int_Tables_number 1
_cell_length_a 3.671
_cell_length_b 4.966
_cell_length_c 4.966
_cell_angle_alpha 90.00
_cell_angle_beta 90.00
_cell_angle_gamma 90.00
loop_
_symmetry_equiv_pos_as_xyz
'x,y,z'
loop_
_atom_site_label
_atom_site_type_symbol
_atom_site_fract_x
_atom_site_fract_y
_atom_site_fract_z
_atom_site_occupancy
Li1 Li 0.500 0.000 0.000 1
Pd1 Pd 0.500 0.500 0.500 1
Tb1 Tb 0.000 0.500 0.000 1
Tb2 Tb 0.000 0.000 0.500 1
```

The value obtained for the energy relative to the elements is -37.9 kJ per mole of atoms. Its crystal system is tetragonal. For the mass density, the calculation gives 7.9 g/cm3. The calculation puts the volume at 22.63 Å³ per atom. Its total DFT energy (no corrections) is -4.484 eV/atom.

[2]
A plane-wave DFT calculation with PBE-GGA was carried out for Hf12Zr5Tl2 after structural relaxation.

```
data_Hf12Zr5Tl2
_symmetry_space_group_name_H-M 'P 1'
_symmetry_Int_Tables_number 1
_cell_length_a 8.199
_cell_length_b 8.103
_cell_length_c 7.692
_cell_angle_alpha 92.37
_cell_angle_beta 90.00
_cell_angle_gamma 120.39
loop_
_symmetry_equiv_pos_as_xyz
'x,y,z'
loop_
_atom_site_label
_atom_site_type_symbol
_atom_site_fract_x
_atom_site_fract_y
_atom_site_fract_z
_atom_site_occupancy
Hf1 Hf 0.915 0.829 0.123 1
Hf2 Hf 0.442 0.884 0.669 1
Zr1 Zr 0.236 0.472 0.584 1
Hf3 Hf 0.435 0.251 0.645 1
Hf4 Hf 0.972 0.304 0.240 1
Tl1 Tl 0.313 0.000 0.000 1
Hf5 Hf 0.332 0.304 0.240 1
Zr2 Zr 0.764 0.528 0.416 1
Hf6 Hf 0.565 0.749 0.355 1
Hf7 Hf 0.668 0.696 0.760 1
Hf8 Hf 0.085 0.171 0.877 1
Hf9 Hf 0.558 0.116 0.331 1
Hf10 Hf 0.184 0.749 0.355 1
Hf11 Hf 0.816 0.251 0.645 1
Zr3 Zr 0.302 0.605 0.989 1
Tl2 Tl 0.687 0.000 0.000 1
Hf12 Hf 0.028 0.696 0.760 1
Zr4 Zr 0.000 0.000 0.500 1
Zr5 Zr 0.698 0.395 0.011 1
```

The value obtained for the energy relative to the elements is 11.5 kJ per mole of atoms. Its crystal system is monoclinic. For the mass density, the calculation gives 11.3 g/cm3. The calculation puts the volume at 23.18 Å³ per atom. Its total DFT energy (no corrections) is -8.666 eV/atom.

Question: What is the energy relative to the elements in the first record?
Answer: -37.9 kJ per mole of atoms